The following is a PBE-GGA calculation of a geometry-optimized Ta2BeRu structure, from Alexandria via LeMat-Bulk.

```
Ta2BeRu
1.0
3.0625 0.0000 0.0000
0.0000 3.0625 0.0000
0.0000 0.0000 6.3689
Ru Be Ta
1 1 2
Direct
0.5000 0.5000 0.7155
0.0000 0.0000 0.5378
0.0000 0.0000 0.9669
0.5000 0.5000 0.2798
```

Computed properties:
M_tot ... 0.00 μB per formula unit
ΔE_f ... -189 meV/atom
Density ... 13.12 g/cm3
Energy ... -9.366 eV/atom

***

The following is a PBE-GGA calculation of a geometry-optimized BaLi2GaNi structure, from Alexandria via LeMat-Bulk.

```
BaLi2GaNi
1.0
4.9749 0.0000 0.0000
0.0000 4.9749 0.0000
0.0000 0.0000 4.6563
Ni Ba Ga Li
1 1 1 2
Direct
0.0000 0.0000 0.0000
0.5000 0.5000 0.5000
0.0000 0.0000 0.5000
0.0000 0.5000 0.0000
0.5000 0.0000 0.0000
```

Computed properties:
M_tot ... 0.00 μB per formula unit
ΔE_f ... -118 meV/atom
Density ... 4.03 g/cm3
Energy ... -3.029 eV/atom
Relative energy among the computed polymorphs ... 0 meV per atom

***

The following is a PBE-GGA calculation of a geometry-optimized Cs2RbCdBr5 structure, from Alexandria via LeMat-Bulk.

```
Cs2RbCdBr5
1.0
5.5360 0.0000 0.0000
0.0000 8.0443 0.0000
-2.7680 -4.0221 8.5700
Cs Rb Cd Br
2 1 1 5
Direct
0.2059 0.2059 0.4118
0.7941 0.7941 0.5882
0.0000 0.5000 0.0000
0.5000 0.0000 0.0000
0.6170 0.8677 0.2341
0.3830 0.1323 0.7659
0.3830 0.6337 0.7659
0.6170 0.3663 0.2341
0.0000 0.0000 0.0000
```

Computed properties:
M_tot ... 0.00 μB per formula unit
Density ... 3.76 g/cm3
Formation energy from raw total energies ... -1456 meV/atom
Energy ... -2.784 eV/atom

***

The following is a PBE-GGA calculation of a geometry-optimized Pu2As4IrRh3 structure, from Alexandria via LeMat-Bulk.

```
Pu2As4IrRh3
1.0
4.2334 0.0000 0.0000
0.0000 4.2334 0.0000
0.0000 0.0000 10.1443
Pu As Ir Rh
2 4 1 3
Direct
0.5000 0.0000 0.2459
0.0000 0.5000 0.7541
0.5000 0.5000 0.0000
0.0000 0.0000 0.0000
0.5000 0.0000 0.6382
0.0000 0.5000 0.3618
0.5000 0.5000 0.5000
0.0000 0.0000 0.5000
0.5000 0.0000 0.8754
0.0000 0.5000 0.1246
```

Computed properties:
M_tot ... 10.58 μB per formula unit
ΔE_f ... -654 meV/atom
Density ... 11.77 g/cm3
Energy ... -8.472 eV/atom